24
Lattice="-4.5657 2.2656 -0.5488 -2.4402 -0.3200 -4.4970 -6.6969 -11.9918 4.2478" Properties=species:S:1:pos:R:3 comment="LiV2F9 GGA+U relaxed" m_tot_mub_per_cell=4.000 de_polymorph_ev_per_atom=0.042 final_energy_ev_per_atom=-5.501 pbc="T T T"
F -2.9042 -2.4325 0.7478
F -10.0400 -5.0381 -1.2720
F -5.5762 -1.4741 -0.4974
F -7.9603 -8.6430 -0.1646
F -3.7639 -0.6744 -2.9298
F -9.9798 -10.6072 -0.5740
F -5.8027 -8.9758 2.0358
F -3.5336 -3.2526 -2.1783
F -8.3893 -7.4149 2.7454
F -7.9550 -5.6452 0.7594
F -10.2425 -9.3398 1.9751
F -8.3641 -3.6665 -3.0893
F -12.3312 -8.9098 0.1838
F -5.6930 0.9329 -1.6290
F -7.7592 -6.6227 -1.8870
F -6.0340 -4.3901 -1.7464
F -7.9769 -2.9746 -0.1987
F -6.1692 0.3224 -4.3661
V -8.1767 -10.5004 -0.8837
V -6.7898 -8.1356 -1.6871
V -5.5460 0.4204 0.0985
V -6.9320 -1.9454 0.9003
Li -8.0526 -4.6926 -1.2477
Li -4.6951 1.2923 -3.3884